Density functional theory data (PBE with a Hubbard U) for crystalline CdNiP2O at its relaxed geometry.

Cell and atoms, written as POSCAR:
```
CdNiP2O
1.0
-0.601 -1.709 -4.376
-0.020 -4.410 1.725
-3.458 0.175 0.407
Ni O P Cd
1 1 2 1
Direct
0.000 0.000 0.000
0.000 0.000 0.500
0.000 0.500 0.000
0.500 0.000 0.000
0.500 0.500 0.500
```

D(E_F) = 3.2 states/eV/cell
VASP energy = -17.1 eV for the cell shown
Mass density = 5.29 Mg/m³